{
  "formula": "MnAlRe2",
  "functional": "PBE",
  "state": "relaxed",
  "lattice_angstrom": [[2.717, 0.000, 0.000], [0.000, 3.901, 0.000], [0.000, 0.000, 5.214]],
  "species": ["Al", "Mn", "Re", "Re"],
  "frac_coords": [[0.500, 0.500, 0.250], [0.500, 0.500, 0.750], [0.000, 0.000, 0.505], [0.000, 0.000, 0.995]],
  "crystal_system": "orthorhombic",
  "total_energy_ev_per_cell": -37.721,
  "ef_ev_per_atom": 0.02,
  "total_magnetization_mub_per_atom": 0.052,
  "dos_ef_per_ev_fu": 2.94,
  "rho_g_cm3": 13.650
}

{
  "formula": "Tm5NiSb4",
  "functional": "PBE",
  "state": "relaxed",
  "lattice_angstrom": [[6.088, 0.000, 0.000], [3.044, 6.717, 0.000], [3.044, 0.000, 6.717]],
  "species": ["Ni", "Sb", "Sb", "Sb", "Sb", "Tm", "Tm", "Tm", "Tm", "Tm"],
  "frac_coords": [[0.971, 0.000, 0.000], [0.423, 0.392, 0.795], [0.815, 0.795, 0.608], [0.610, 0.608, 0.205], [0.219, 0.205, 0.392], [0.114, 0.614, 0.190], [0.304, 0.810, 0.614], [0.728, 0.190, 0.386], [0.407, 0.000, 0.000], [0.918, 0.386, 0.810]],
  "crystal_system": "tetragonal",
  "formation_energy_uncorrected_mev_per_atom": -781.2,
  "total_energy_ev_per_cell": -52.441,
  "total_magnetization_mub_per_atom": 0.000,
  "dos_ef_per_ev_fu": 5.99,
  "rho_g_cm3": 8.406
}

{
  "formula": "LaFePH",
  "functional": "PBE",
  "state": "relaxed",
  "lattice_angstrom": [[3.859, 0.000, 0.000], [0.000, 3.859, 0.000], [0.000, 0.000, 8.164]],
  "species": ["P", "P", "Fe", "Fe", "H", "H", "La", "La"],
  "frac_coords": [[0.500, 0.000, 0.137], [0.000, 0.500, 0.863], [0.000, 0.000, 0.000], [0.500, 0.500, 0.000], [0.000, 0.000, 0.500], [0.500, 0.500, 0.500], [0.000, 0.500, 0.317], [0.500, 0.000, 0.683]],
  "crystal_system": "tetragonal",
  "total_energy_ev_per_cell": -51.738,
  "total_magnetization_mub_per_atom": 0.000,
  "dos_ef_per_ev_fu": 2.41,
  "rho_g_cm3": 6.195
}

{
  "formula": "Nd3Sm2Dy6Tm",
  "functional": "PBE",
  "state": "relaxed",
  "lattice_angstrom": [[6.215, 0.000, 0.004], [-3.106, 5.383, 0.004], [-1.041, -1.803, 11.671]],
  "species": ["Nd", "Nd", "Nd", "Dy", "Dy", "Dy", "Dy", "Dy", "Dy", "Sm", "Sm", "Tm"],
  "frac_coords": [[0.167, 0.833, 0.500], [0.833, 0.167, 0.500], [0.500, 0.500, 0.500], [0.083, 0.415, 0.248], [0.917, 0.585, 0.752], [0.750, 0.750, 0.248], [0.415, 0.083, 0.248], [0.250, 0.250, 0.752], [0.585, 0.917, 0.752], [0.334, 0.666, 0.000], [0.666, 0.334, 0.000], [0.000, 0.000, 0.000]],
  "crystal_system": "monoclinic",
  "total_energy_ev_per_cell": -55.639,
  "ef_ev_per_atom": 0.02,
  "total_magnetization_mub_per_atom": 0.000,
  "dos_ef_per_ev_fu": 15.07,
  "rho_g_cm3": 7.981
}

{
  "formula": "Be2PRh",
  "functional": "PBE",
  "state": "relaxed",
  "lattice_angstrom": [[4.151, -0.200, -0.555], [-2.026, 4.281, 0.265], [0.100, 0.956, 2.648]],
  "species": ["P", "Be", "Be", "Rh"],
  "frac_coords": [[0.000, 0.500, 0.500], [0.000, 0.000, 0.000], [0.500, 0.000, 0.500], [0.500, 0.500, 0.000]],
  "crystal_system": "monoclinic",
  "total_energy_ev_per_cell": -20.610,
  "ef_ev_per_atom": -0.10,
  "total_magnetization_mub_per_atom": 0.000,
  "dos_ef_per_ev_fu": 1.81,
  "rho_g_cm3": 5.454
}

{
  "formula": "SmAlRh",
  "functional": "PBE",
  "state": "relaxed",
  "lattice_angstrom": [[7.108, -0.093, 0.000], [-2.784, 6.541, 0.000], [-2.162, -3.224, 5.581]],
  "species": ["Rh", "Rh", "Rh", "Rh", "Al", "Al", "Al", "Al", "Sm", "Sm", "Sm", "Sm"],
  "frac_coords": [[0.076, 0.924, 0.500], [0.424, 0.576, 0.500], [0.174, 0.826, 0.000], [0.826, 0.174, 0.000], [0.121, 0.621, 0.242], [0.379, 0.879, 0.758], [0.129, 0.129, 0.258], [0.871, 0.871, 0.742], [0.625, 0.375, 0.750], [0.625, 0.375, 0.250], [0.625, 0.875, 0.250], [0.125, 0.375, 0.750]],
  "crystal_system": "orthorhombic",
  "total_energy_ev_per_cell": -70.617,
  "ef_ev_per_atom": -0.61,
  "total_magnetization_mub_per_atom": 0.000,
  "dos_ef_per_ev_fu": 2.00,
  "rho_g_cm3": 7.213
}

{
  "formula": "Ce4ErTm3Se8",
  "functional": "PBE",
  "state": "relaxed",
  "lattice_angstrom": [[8.137, 0.000, 0.000], [0.000, 8.321, 0.123], [-4.069, -4.065, 5.758]],
  "species": ["Tm", "Tm", "Tm", "Se", "Se", "Se", "Se", "Se", "Se", "Se", "Se", "Ce", "Ce", "Ce", "Ce", "Er"],
  "frac_coords": [[0.000, 0.500, 0.500], [0.500, 0.500, 0.500], [0.500, 0.500, 0.000], [0.256, 0.268, 0.512], [0.245, 0.733, 0.988], [0.743, 0.733, 0.988], [0.245, 0.733, 0.489], [0.744, 0.732, 0.488], [0.755, 0.267, 0.511], [0.257, 0.267, 0.012], [0.755, 0.267, 0.012], [0.000, 0.000, 0.500], [0.500, 0.000, 0.500], [0.000, 0.000, 0.000], [0.500, 0.000, 0.000], [0.000, 0.500, 0.000]],
  "crystal_system": "trigonal",
  "formation_energy_uncorrected_mev_per_atom": -1764.3,
  "total_energy_ev_per_cell": -97.819,
  "total_magnetization_mub_per_atom": 0.258,
  "dos_ef_per_ev_fu": 24.65,
  "rho_g_cm3": 7.866
}

{
  "formula": "NbGaRe3",
  "functional": "PBE",
  "state": "relaxed",
  "lattice_angstrom": [[-1.207, 3.361, -2.716], [-1.689, -2.962, -2.916], [-3.977, 0.238, 2.062]],
  "species": ["Re", "Re", "Re", "Ga", "Nb"],
  "frac_coords": [[0.000, 0.000, 0.500], [0.000, 0.500, 0.000], [0.500, 0.000, 0.000], [0.000, 0.000, 0.000], [0.500, 0.500, 0.500]],
  "polymorph_energy_ev_per_atom": 0.000,
  "crystal_system": "cubic",
  "total_energy_ev_per_cell": -42.646,
  "ef_ev_per_atom": 1.56,
  "total_magnetization_mub_per_atom": 0.000,
  "dos_ef_per_ev_fu": 7.05,
  "rho_g_cm3": 13.262
}

{
  "formula": "NdCuSn2",
  "functional": "PBE",
  "state": "relaxed",
  "lattice_angstrom": [[-2.406, -3.761, -0.507], [3.864, -2.376, -0.714], [0.330, -0.818, 4.507]],
  "species": ["Nd", "Cu", "Sn", "Sn"],
  "frac_coords": [[0.500, 0.000, 0.000], [0.500, 0.500, 0.500], [0.000, 0.500, 0.000], [0.000, 0.000, 0.500]],
  "crystal_system": "tetragonal",
  "total_energy_ev_per_cell": -18.334,
  "ef_ev_per_atom": -0.37,
  "total_magnetization_mub_per_atom": 0.000,
  "dos_ef_per_ev_fu": 1.36,
  "rho_g_cm3": 7.801
}

{
  "formula": "Cd2AsIr",
  "functional": "PBE",
  "state": "relaxed",
  "lattice_angstrom": [[-0.388, -3.926, 1.484], [3.059, -1.267, -2.553], [2.824, 0.842, 2.966]],
  "species": ["Cd", "Cd", "As", "Ir"],
  "frac_coords": [[0.000, 0.500, 0.500], [0.000, 0.000, 0.000], [0.500, 0.000, 0.500], [0.500, 0.500, 0.000]],
  "crystal_system": "tetragonal",
  "total_energy_ev_per_cell": -14.255,
  "ef_ev_per_atom": 0.27,
  "total_magnetization_mub_per_atom": 0.000,
  "dos_ef_per_ev_fu": 2.49,
  "rho_g_cm3": 11.087
}

{
  "formula": "KSc2Ag",
  "functional": "PBE",
  "state": "relaxed",
  "lattice_angstrom": [[5.997, 0.050, 0.000], [2.423, 5.486, 0.000], [-4.210, -2.768, 3.253]],
  "species": ["K", "Sc", "Sc", "Ag"],
  "frac_coords": [[0.750, 0.250, 0.500], [0.250, 0.750, 0.500], [0.000, 0.000, 0.000], [0.500, 0.500, 0.000]],
  "crystal_system": "tetragonal",
  "total_energy_ev_per_cell": -14.310,
  "ef_ev_per_atom": 0.58,
  "total_magnetization_mub_per_atom": 0.551,
  "dos_ef_per_ev_fu": 7.22,
  "rho_g_cm3": 3.689
}

{
  "formula": "Rb3Er2MnTe6",
  "functional": "PBE",
  "state": "relaxed",
  "lattice_angstrom": [[-7.466, -1.436, -0.269], [3.610, -0.749, 6.655], [-0.296, 8.909, -0.410]],
  "species": ["Mn", "Rb", "Rb", "Rb", "Te", "Te", "Te", "Te", "Te", "Te", "Er", "Er"],
  "frac_coords": [[0.000, 0.000, 0.000], [0.826, 0.174, 0.500], [0.174, 0.826, 0.500], [0.500, 0.500, 0.500], [0.059, 0.369, 0.184], [0.631, 0.941, 0.816], [0.739, 0.739, 0.205], [0.369, 0.059, 0.184], [0.941, 0.631, 0.816], [0.261, 0.261, 0.795], [0.662, 0.338, 0.000], [0.338, 0.662, 0.000]],
  "crystal_system": "monoclinic",
  "formation_energy_uncorrected_mev_per_atom": -1034.2,
  "total_energy_ev_per_cell": -52.458,
  "total_magnetization_mub_per_atom": 0.333,
  "dos_ef_per_ev_fu": 2.49,
  "rho_g_cm3": 5.419
}